1.
Below is a relaxed HfMnVMo crystal, with properties calculated at the GGA-PBE level.

DFT formation energy ... -0.018 eV per atom

a = 4.425 Å, b = 4.425 Å, c = 4.425 Å
α = 60.00°, β = 60.00°, γ = 60.00°
Each line ends with the local moment (μB).
Atoms (fractional coordinates):
Mn 0.500 0.500 0.500  1.56
Hf 0.750 0.750 0.750  -0.05
V 0.250 0.250 0.250  -0.66
Mo 0.000 0.000 0.000  0.32

2.
Below is a relaxed Ce2Pr3Pb6 crystal, with properties calculated at the GGA-PBE level.

DFT formation energy ... -0.078 eV per atom

a = 5.929 Å, b = 5.929 Å, c = 12.058 Å
α = 104.23°, β = 104.23°, γ = 90.00°
Each line ends with the local moment (μB).
Atoms (fractional coordinates):
Pr 0.842 0.842 0.683  -0.02
Pr 0.000 0.000 0.000  0.04
Pr 0.158 0.158 0.317  -0.02
Pb 0.906 0.406 0.812  -0.01
Pb 0.698 0.698 0.396  0.00
Pb 0.594 0.094 0.188  -0.01
Pb 0.302 0.302 0.604  0.00
Pb 0.406 0.906 0.812  -0.01
Pb 0.094 0.594 0.188  -0.01
Ce 0.439 0.439 0.877  0.82
Ce 0.561 0.561 0.123  0.82

3.
Below is a relaxed CeDy8Ho6 crystal, with properties calculated at the GGA-PBE level.

Energy relative to the lowest polymorph listed for this composition ... 0.00 eV per formula unit
DFT formation energy ... 0.132 eV per atom

a = 8.571 Å, b = 8.571 Å, c = 8.571 Å
α = 63.07°, β = 63.07°, γ = 63.07°
Each line ends with the local moment (μB).
Atoms (fractional coordinates):
Ho 0.539 0.232 0.105  0.04
Ho 0.768 0.895 0.461  0.04
Ho 0.461 0.768 0.895  0.04
Ho 0.895 0.461 0.768  0.04
Ho 0.232 0.105 0.539  0.04
Ho 0.105 0.539 0.232  0.04
Dy 0.423 0.423 0.423  -0.03
Dy 0.718 0.751 0.112  0.03
Dy 0.112 0.718 0.751  0.03
Dy 0.282 0.249 0.888  0.03
Dy 0.249 0.888 0.282  0.03
Dy 0.577 0.577 0.577  -0.03
Dy 0.751 0.112 0.718  0.03
Dy 0.888 0.282 0.249  0.03
Ce 0.000 0.000 0.000  0.58

4.
Below is a relaxed Np2TeSe2N2 crystal, with properties calculated at the GGA-PBE level.

Uncorrected formation energy ... -0.69 eV per atom

a = 3.710 Å, b = 3.710 Å, c = 12.661 Å
α = 90.00°, β = 90.00°, γ = 120.00°
Each line ends with the local moment (μB).
Atoms (fractional coordinates):
N 0.333 0.667 0.189  -0.20
N 0.667 0.333 0.811  -0.20
Se 0.000 0.000 0.360  -0.17
Se 0.000 0.000 0.640  -0.17
Np 0.333 0.667 0.786  1.96
Np 0.667 0.333 0.214  1.96
Te 0.000 0.000 0.000  -0.10

5.
Below is a relaxed Y4InFe crystal, with properties calculated at the GGA-PBE level.

Energy relative to the lowest polymorph listed for this composition ... 4.59 eV per formula unit
DFT formation energy ... 0.584 eV per atom

a = 6.208 Å, b = 6.208 Å, c = 6.208 Å
α = 60.00°, β = 60.00°, γ = 60.00°
Each line ends with the local moment (μB).
Atoms (fractional coordinates):
In 0.000 0.000 0.000  0.01
Y 0.375 0.375 0.875  -0.03
Y 0.375 0.875 0.375  -0.03
Y 0.875 0.375 0.375  -0.03
Y 0.375 0.375 0.375  -0.03
Fe 0.750 0.750 0.750  3.04

6.
Below is a relaxed AlSeO3 crystal, with properties calculated at the GGA-PBE level.

Uncorrected formation energy ... -0.28 eV per atom

a = 3.905 Å, b = 3.905 Å, c = 3.905 Å
α = 90.00°, β = 90.00°, γ = 90.00°
Atoms (fractional coordinates):
O 0.000 0.500 0.000
O 0.000 0.000 0.500
O 0.500 0.000 0.000
Al 0.500 0.500 0.500
Se 0.000 0.000 0.000